First-principles (PBE) data for an optimized crystal structure of Ta2FeW, as listed in Alexandria.

Structure (CIF):
```
data_Ta2FeW
_symmetry_space_group_name_H-M 'C m m 2'
_symmetry_Int_Tables_number 35
_cell_length_a 3.2753
_cell_length_b 4.4761
_cell_length_c 8.7167
_cell_angle_alpha 90.00
_cell_angle_beta 90.00
_cell_angle_gamma 90.00
loop_
_symmetry_equiv_pos_as_xyz
'x,y,z'
'-x,-y,z'
'-x,y,z'
'x,-y,z'
'x+1/2,y+1/2,z'
'-x+1/2,-y+1/2,z'
'-x+1/2,y+1/2,z'
'x+1/2,-y+1/2,z'
loop_
_atom_site_label
_atom_site_fract_x
_atom_site_fract_y
_atom_site_fract_z
_atom_site_occupancy
Ta1 0.0000 0.0000 0.0000 1
Ta2 0.0000 0.5000 0.2757 1
Fe1 0.0000 0.0000 0.5102 1
W1 0.0000 0.5000 0.7352 1
```

## Properties
- formation energy (eV per atom) = 0.033

First-principles (PBE) data for an optimized crystal structure of Cd2IrW, as listed in Alexandria.

Structure (CIF):
```
data_Cd2IrW
_symmetry_space_group_name_H-M 'C m m m'
_symmetry_Int_Tables_number 65
_symmetry_space_group_name_Hall '-C 2 2'
_cell_length_a 5.3923
_cell_length_b 9.1764
_cell_length_c 2.8541
_cell_angle_alpha 90.00
_cell_angle_beta 90.00
_cell_angle_gamma 90.00
loop_
_atom_site_label
_atom_site_fract_x
_atom_site_fract_y
_atom_site_fract_z
_atom_site_occupancy
Cd1 0.2500 0.2500 0.0000 1
Ir1 0.0000 0.0000 0.5000 1
W1 0.0000 0.5000 0.5000 1
```

## Properties
- formation energy (eV per atom) = 0.556

First-principles (PBE) data for an optimized crystal structure of Cs3PbI4, as listed in Alexandria.

Structure (CIF):
```
data_Cs3PbI4
_symmetry_space_group_name_H-M 'P m n 21'
_symmetry_Int_Tables_number 31
_cell_length_a 15.1509
_cell_length_b 7.6276
_cell_length_c 7.6243
_cell_angle_alpha 90.00
_cell_angle_beta 90.00
_cell_angle_gamma 90.00
loop_
_symmetry_equiv_pos_as_xyz
'x,y,z'
'-x+1/2,-y,z+1/2'
'-x,y,z'
'x+1/2,-y,z+1/2'
loop_
_atom_site_label
_atom_site_fract_x
_atom_site_fract_y
_atom_site_fract_z
_atom_site_occupancy
Cs1 0.0000 0.2496 0.9999 1
Cs2 0.2501 0.2491 0.5000 1
Pb1 0.0000 0.7475 0.4999 1
I1 0.0000 0.2251 0.4998 1
I2 0.0000 0.7480 0.9987 1
I3 0.2210 0.7482 0.5000 1
```

## Properties
- ΔE_f (raw) (kJ/mol of atoms) = -109.3

First-principles (PBE) data for an optimized crystal structure of YMo2Rh2, as listed in Alexandria.

Structure (CIF):
```
data_YMo2Rh2
_symmetry_space_group_name_H-M 'I 4/m m m'
_symmetry_Int_Tables_number 139
_symmetry_space_group_name_Hall '-I 4 2'
_cell_length_a 3.7599
_cell_length_b 3.7599
_cell_length_c 12.9592
_cell_angle_alpha 90.00
_cell_angle_beta 90.00
_cell_angle_gamma 90.00
loop_
_atom_site_label
_atom_site_fract_x
_atom_site_fract_y
_atom_site_fract_z
_atom_site_occupancy
Y1 0.0000 0.0000 0.0000 1
Mo1 0.0000 0.5000 0.2500 1
Rh1 0.0000 0.0000 0.3988 1
```

## Properties
- formation energy (eV per atom) = -0.099

First-principles (PBE) data for an optimized crystal structure of Ca3HgMo, as listed in Alexandria.

Structure (CIF):
```
data_Ca3HgMo
_symmetry_space_group_name_H-M 'P m -3 m'
_symmetry_Int_Tables_number 221
_symmetry_space_group_name_Hall '-P 4 2 3'
_cell_length_a 5.7695
_cell_length_b 5.7695
_cell_length_c 5.7695
_cell_angle_alpha 90.00
_cell_angle_beta 90.00
_cell_angle_gamma 90.00
loop_
_atom_site_label
_atom_site_fract_x
_atom_site_fract_y
_atom_site_fract_z
_atom_site_occupancy
Ca1 0.0000 0.0000 0.5000 1
Hg1 0.0000 0.0000 0.0000 1
Mo1 0.5000 0.5000 0.5000 1
```

## Properties
- formation energy (eV per atom) = 0.752

First-principles (PBE) data for an optimized crystal structure of RbNi3As, as listed in Alexandria.

Structure (CIF):
```
data_RbNi3As
_symmetry_space_group_name_H-M 'P m -3 m'
_symmetry_Int_Tables_number 221
_symmetry_space_group_name_Hall '-P 4 2 3'
_cell_length_a 4.6406
_cell_length_b 4.6406
_cell_length_c 4.6406
_cell_angle_alpha 90.00
_cell_angle_beta 90.00
_cell_angle_gamma 90.00
loop_
_atom_site_label
_atom_site_fract_x
_atom_site_fract_y
_atom_site_fract_z
_atom_site_occupancy
Rb1 0.0000 0.0000 0.0000 1
Ni1 0.0000 0.0000 0.5000 1
As1 0.5000 0.5000 0.5000 1
```

## Properties
- formation energy (eV per atom) = 2.109

First-principles (PBE) data for an optimized crystal structure of LiNdIn4Ir2, as listed in Alexandria.

Structure (CIF):
```
data_LiNdIn4Ir2
_symmetry_space_group_name_H-M 'R -3 m'
_symmetry_Int_Tables_number 166
_symmetry_space_group_name_Hall '-R 3 2"'
_cell_length_a 4.7261
_cell_length_b 4.7261
_cell_length_c 24.6804
_cell_angle_alpha 90.00
_cell_angle_beta 90.00
_cell_angle_gamma 120.00
loop_
_atom_site_label
_atom_site_fract_x
_atom_site_fract_y
_atom_site_fract_z
_atom_site_occupancy
Li1 0.0000 0.0000 0.0000 1
Nd1 0.0000 0.0000 0.5000 1
In1 0.0000 0.0000 0.1087 1
In2 0.0000 0.0000 0.3679 1
Ir1 0.0000 0.0000 0.2527 1
```

## Properties
- formation energy (eV per atom) = -0.299

First-principles (PBE) data for an optimized crystal structure of CsSeBr3, as listed in Alexandria.

Structure (CIF):
```
data_CsSeBr3
_symmetry_space_group_name_H-M 'P 1'
_symmetry_Int_Tables_number 1
_cell_length_a 7.3810
_cell_length_b 8.1297
_cell_length_c 8.5348
_cell_angle_alpha 117.98
_cell_angle_beta 92.72
_cell_angle_gamma 108.80
loop_
_symmetry_equiv_pos_as_xyz
'x,y,z'
loop_
_atom_site_label
_atom_site_fract_x
_atom_site_fract_y
_atom_site_fract_z
_atom_site_occupancy
Cs1 0.0000 0.0000 0.0000 1
Cs2 0.3648 0.4668 0.7704 1
Se1 0.2186 0.7383 0.4328 1
Se2 0.5296 0.0427 0.5084 1
Br1 0.0461 0.5806 0.1137 1
Br2 0.3911 0.4811 0.3416 1
Br3 0.4640 0.9905 0.8034 1
Br4 0.5234 0.0107 0.2063 1
Br5 0.8459 0.4288 0.7019 1
Br6 0.9990 0.9489 0.5359 1
```

## Properties
- ΔE_f (raw) (kJ/mol of atoms) = -76.2

First-principles (PBE) data for an optimized crystal structure of NaPmMoN3, as listed in Alexandria.

Structure (CIF):
```
data_NaPmMoN3
_symmetry_space_group_name_H-M 'C 1 2/m 1'
_symmetry_Int_Tables_number 12
_cell_length_a 13.7872
_cell_length_b 3.8855
_cell_length_c 7.1798
_cell_angle_alpha 90.00
_cell_angle_beta 105.69
_cell_angle_gamma 90.00
loop_
_symmetry_equiv_pos_as_xyz
'x,y,z'
'-x,-y,-z'
'-x,y,-z'
'x,-y,z'
'x+1/2,y+1/2,z'
'-x+1/2,-y+1/2,-z'
'-x+1/2,y+1/2,-z'
'x+1/2,-y+1/2,z'
loop_
_atom_site_label
_atom_site_fract_x
_atom_site_fract_y
_atom_site_fract_z
_atom_site_occupancy
Na1 0.1501 0.0000 0.0771 1
Pm1 0.1638 0.0000 0.6018 1
Mo1 0.0048 0.5000 0.2977 1
N1 0.0104 0.0000 0.3264 1
N2 0.1370 0.5000 0.8186 1
N3 0.1563 0.5000 0.3443 1
```

## Properties
- ΔE_f (raw) (kJ/mol of atoms) = -48.7

First-principles (PBE) data for an optimized crystal structure of Pu5ThAs6, as listed in Alexandria.

Structure (CIF):
```
data_Pu5ThAs6
_symmetry_space_group_name_H-M 'C 1 2/m 1'
_symmetry_Int_Tables_number 12
_cell_length_a 7.2179
_cell_length_b 12.4869
_cell_length_c 7.2007
_cell_angle_alpha 90.00
_cell_angle_beta 109.49
_cell_angle_gamma 90.00
loop_
_symmetry_equiv_pos_as_xyz
'x,y,z'
'-x,-y,-z'
'-x,y,-z'
'x,-y,z'
'x+1/2,y+1/2,z'
'-x+1/2,-y+1/2,-z'
'-x+1/2,y+1/2,-z'
'x+1/2,-y+1/2,z'
loop_
_atom_site_label
_atom_site_fract_x
_atom_site_fract_y
_atom_site_fract_z
_atom_site_occupancy
Pu1 0.0000 0.0000 0.0000 1
Pu2 0.0000 0.1671 0.5000 1
Pu3 0.0000 0.3347 0.0000 1
Th1 0.0000 0.5000 0.5000 1
As1 0.2456 0.0000 0.7521 1
As2 0.2463 0.1691 0.2468 1
```

## Properties
- formation energy (eV per atom) = -1.071

First-principles (PBE) data for an optimized crystal structure of ZrCoNiPb, as listed in Alexandria.

Structure (CIF):
```
data_ZrCoNiPb
_symmetry_space_group_name_H-M 'F -4 3 m'
_symmetry_Int_Tables_number 216
_symmetry_space_group_name_Hall 'F -4 2 3'
_cell_length_a 6.4015
_cell_length_b 6.4015
_cell_length_c 6.4015
_cell_angle_alpha 90.00
_cell_angle_beta 90.00
_cell_angle_gamma 90.00
loop_
_atom_site_label
_atom_site_fract_x
_atom_site_fract_y
_atom_site_fract_z
_atom_site_occupancy
Zr1 0.0000 0.0000 0.0000 1
Co1 0.2500 0.2500 0.2500 1
Ni1 0.2500 0.2500 0.7500 1
Pb1 0.0000 0.0000 0.5000 1
```

## Properties
- formation energy (eV per atom) = -0.108

First-principles (PBE) data for an optimized crystal structure of Tm8Cd2Au, as listed in Alexandria.

Structure (CIF):
```
data_Tm8Cd2Au
_symmetry_space_group_name_H-M 'C 1 2/m 1'
_symmetry_Int_Tables_number 12
_cell_length_a 17.7503
_cell_length_b 5.1621
_cell_length_c 6.8695
_cell_angle_alpha 90.00
_cell_angle_beta 106.44
_cell_angle_gamma 90.00
loop_
_symmetry_equiv_pos_as_xyz
'x,y,z'
'-x,-y,-z'
'-x,y,-z'
'x,-y,z'
'x+1/2,y+1/2,z'
'-x+1/2,-y+1/2,-z'
'-x+1/2,y+1/2,-z'
'x+1/2,-y+1/2,z'
loop_
_atom_site_label
_atom_site_fract_x
_atom_site_fract_y
_atom_site_fract_z
_atom_site_occupancy
Tm1 0.0215 0.0000 0.2716 1
Tm2 0.0921 0.5000 0.9486 1
Tm3 0.1591 0.5000 0.4654 1
Tm4 0.2016 0.0000 0.8054 1
Cd1 0.1852 0.0000 0.2208 1
Au1 0.0000 0.5000 0.5000 1
```

## Properties
- formation energy (eV per atom) = -0.216

Results for electronic total energy: -89.98 -42.84 -43.06 -86.64 -13.38 -12.42 -113.25 -26.61 -179.61 -239.65 -102.30 -86.52 (in eV/cell, following the order of the records).